Record 1
Computed, not measured: Cs2Tl2H after structural relaxation at the PBE-GGA level of DFT.

The structure in POSCAR format:
```
Cs2Tl2H
1.0
-4.685 -3.141 5.380
4.369 -6.455 0.036
2.051 -3.287 5.514
Cs H Tl
2 1 2
direct
0.750 0.250 0.500 Cs
0.250 0.750 0.500 Cs
0.000 0.000 0.000 H
0.704 0.704 0.593 Tl
0.296 0.296 0.407 Tl
```

Properties
Electronic total energy in eV per atom: -1.745



Record 2
Computed, not measured: SrGaCu2Re after structural relaxation at the PBE-GGA level of DFT.

The structure in POSCAR format:
```
SrGaCu2Re
1.0
-2.659 -0.863 -4.538
-2.945 -4.256 2.535
-3.731 3.488 1.523
Re Cu Ga Sr
1 2 1 1
direct
0.000 0.500 0.000 Re
0.000 0.000 0.500 Cu
0.500 0.000 0.000 Cu
0.500 0.500 0.500 Ga
0.000 0.000 0.000 Sr
```

Properties
DFT formation energy in eV per atom: 2.147
Electronic total energy in eV per atom: -2.923



Record 3
Computed, not measured: DyEr2Tm6 after structural relaxation at the PBE-GGA level of DFT.

The structure in POSCAR format:
```
DyEr2Tm6
1.0
-2.901 5.669 -0.917
-0.010 0.153 -9.392
-8.936 -2.744 0.928
Dy Er Tm
2 4 12
direct
0.250 0.120 0.880 Dy
0.750 0.880 0.120 Dy
0.131 0.617 0.664 Er
0.369 0.336 0.383 Er
0.869 0.383 0.336 Er
0.631 0.664 0.617 Er
0.502 0.649 0.278 Tm
0.998 0.722 0.351 Tm
0.498 0.351 0.722 Tm
0.002 0.278 0.649 Tm
0.729 0.061 0.461 Tm
0.771 0.539 0.939 Tm
0.271 0.939 0.539 Tm
0.229 0.461 0.061 Tm
0.315 0.778 0.952 Tm
0.185 0.048 0.222 Tm
0.685 0.222 0.048 Tm
0.815 0.952 0.778 Tm
```

Properties
DFT formation energy in eV per atom: 0.106
Electronic total energy in eV per atom: -4.400



Record 4
Computed, not measured: Ti5Re4Mo after structural relaxation at the PBE-GGA level of DFT.

The structure in POSCAR format:
```
Ti5Re4Mo
1.0
3.125 0.000 0.000
0.000 3.125 0.000
0.000 0.000 15.621
Ti Re Mo
5 4 1
direct
0.500 0.500 0.104 Ti
0.500 0.500 0.302 Ti
0.500 0.500 0.500 Ti
0.500 0.500 0.698 Ti
0.500 0.500 0.896 Ti
0.000 0.000 0.201 Re
0.000 0.000 0.401 Re
0.000 0.000 0.599 Re
0.000 0.000 0.799 Re
0.000 0.000 0.000 Mo
```

Properties
DFT formation energy in eV per atom: -0.321
Electronic total energy in eV per atom: -10.331



Record 5
Computed, not measured: TiNbTe after structural relaxation at the PBE-GGA level of DFT.

The structure in POSCAR format:
```
TiNbTe
1.0
3.533 0.000 0.000
0.000 3.533 0.000
0.000 0.000 9.264
Nb Te Ti
2 2 2
direct
0.000 0.000 0.467 Nb
0.500 0.500 0.622 Nb
0.500 0.500 0.938 Te
0.500 0.500 0.296 Te
0.000 0.000 0.119 Ti
0.000 0.000 0.774 Ti
```

Properties
Electronic total energy in eV per atom: -7.345
Energy above the most stable polymorph in this dataset in meV per atom: 56



Record 6
Computed, not measured: TmPuTcIr after structural relaxation at the PBE-GGA level of DFT.

The structure in POSCAR format:
```
TmPuTcIr
1.0
-3.182 1.515 3.234
-4.624 0.344 -1.174
-3.172 -3.064 1.851
Ir Tm Tc Pu
1 1 1 1
direct
0.000 0.000 0.000 Ir
0.250 0.250 0.250 Tm
0.500 0.500 0.500 Tc
0.750 0.750 0.750 Pu
```

Properties
DFT formation energy in eV per atom: -0.352
Electronic total energy in eV per atom: -9.860



Question: What is the formula in the sixth record?
Answer: TmPuTcIr



Question: Number 6 is which compound?
Answer: TmPuTcIr



What did the fourth record say?
Computed, not measured: Ti5Re4Mo after structural relaxation at the PBE-GGA level of DFT.

The structure in POSCAR format:
```
Ti5Re4Mo
1.0
3.125 0.000 0.000
0.000 3.125 0.000
0.000 0.000 15.621
Ti Re Mo
5 4 1
direct
0.500 0.500 0.104 Ti
0.500 0.500 0.302 Ti
0.500 0.500 0.500 Ti
0.500 0.500 0.698 Ti
0.500 0.500 0.896 Ti
0.000 0.000 0.201 Re
0.000 0.000 0.401 Re
0.000 0.000 0.599 Re
0.000 0.000 0.799 Re
0.000 0.000 0.000 Mo
```

Properties
DFT formation energy in eV per atom: -0.321
Electronic total energy in eV per atom: -10.331